Below is a geometry-optimized Na2ErMnO4 structure, with properties calculated at the GGA+U level.

Computed properties:
- total energy (eV/atom) = -6.5208
- magnetic moment (μB/atom) = 0.500

Geometry as POSCAR:
```
Na2ErMnO4
1.0
4.562 -4.512 0.000
4.562 4.512 0.000
-4.497 0.000 4.882
Na Er Mn O
4 2 2 8
direct
0.000 0.000 0.000
0.000 0.000 0.500
0.000 0.500 0.000
0.500 0.000 0.500
0.000 0.500 0.500
0.500 0.000 0.000
0.500 0.500 0.000
0.500 0.500 0.500
0.264 0.713 0.966
0.270 0.281 0.487
0.281 0.270 0.987
0.287 0.736 0.534
0.713 0.264 0.466
0.719 0.730 0.013
0.730 0.719 0.513
0.736 0.287 0.034
```

Below is a geometry-optimized Na4Er3MnO8 structure, with properties calculated at the GGA+U level.

Computed properties:
- total energy (eV/atom) = -6.6337
- magnetic moment (μB/atom) = 0.250
- Fermi-level density of states (states/eV/cell) = 0.0

Geometry as POSCAR:
```
Na4Er3MnO8
1.0
5.704 -3.342 0.000
5.704 3.342 0.000
-3.857 0.000 5.553
Na Er Mn O
4 3 1 8
direct
0.000 0.000 0.000
0.000 0.500 0.000
0.500 0.000 0.000
0.500 0.500 0.000
0.000 0.000 0.500
0.000 0.500 0.500
0.500 0.000 0.500
0.500 0.500 0.500
0.239 0.239 0.711
0.239 0.740 0.716
0.260 0.761 0.284
0.287 0.287 0.307
0.713 0.713 0.693
0.740 0.239 0.716
0.761 0.260 0.284
0.761 0.761 0.289
```

- Which of these has the lowest total energy?
  Na4Er3MnO8

Repeat the first record exactly.
Below is a geometry-optimized Na2ErMnO4 structure, with properties calculated at the GGA+U level.

Computed properties:
- total energy (eV/atom) = -6.5208
- magnetic moment (μB/atom) = 0.500

Geometry as POSCAR:
```
Na2ErMnO4
1.0
4.562 -4.512 0.000
4.562 4.512 0.000
-4.497 0.000 4.882
Na Er Mn O
4 2 2 8
direct
0.000 0.000 0.000
0.000 0.000 0.500
0.000 0.500 0.000
0.500 0.000 0.500
0.000 0.500 0.500
0.500 0.000 0.000
0.500 0.500 0.000
0.500 0.500 0.500
0.264 0.713 0.966
0.270 0.281 0.487
0.281 0.270 0.987
0.287 0.736 0.534
0.713 0.264 0.466
0.719 0.730 0.013
0.730 0.719 0.513
0.736 0.287 0.034
```

Repeat the first record exactly.
Below is a geometry-optimized Na2ErMnO4 structure, with properties calculated at the GGA+U level.

Computed properties:
- total energy (eV/atom) = -6.5208
- magnetic moment (μB/atom) = 0.500

Geometry as POSCAR:
```
Na2ErMnO4
1.0
4.562 -4.512 0.000
4.562 4.512 0.000
-4.497 0.000 4.882
Na Er Mn O
4 2 2 8
direct
0.000 0.000 0.000
0.000 0.000 0.500
0.000 0.500 0.000
0.500 0.000 0.500
0.000 0.500 0.500
0.500 0.000 0.000
0.500 0.500 0.000
0.500 0.500 0.500
0.264 0.713 0.966
0.270 0.281 0.487
0.281 0.270 0.987
0.287 0.736 0.534
0.713 0.264 0.466
0.719 0.730 0.013
0.730 0.719 0.513
0.736 0.287 0.034
```

- Among the records above, which one has the highest magnetic moment?
  Na2ErMnO4